Density functional theory data (meta-GGA SCAN) for a PBEsol-optimized structure of ZnSb2Pb.

POSCAR file:
```
ZnSb2Pb
1.0
2.0222 -2.6632 0.0000
2.0222 2.6632 0.0000
0.0000 0.0000 9.1564
Zn Sb Pb
1 2 1
Direct
0.0000 0.0000 0.0000
0.5000 0.5000 0.2108
0.5000 0.5000 0.7892
0.0000 0.0000 0.5000
```

Output
Uncorrected formation energy ... 0.179 eV per atom